Computed, not measured: crystalline MnFe2CoO at its relaxed geometry at the GGA+U level of DFT.

Results
E ... -5.620 eV per atom
Symmetry ... No. 123

Unit cell a=4.100 b=4.325 c=4.100 alpha=90.00 beta=90.00 gamma=90.00
Each line ends with the local moment (μB).
Fractional positions:
Mn1 0.500 0.500 0.500  4.36
Co1 0.000 0.500 0.000  2.00
Fe1 0.000 0.000 0.500  3.65
Fe2 0.500 0.000 0.000  3.54
O1 0.000 0.000 0.000  0.13